[1]
BaFe2Ru: optimized geometry, GGA-PBE.

abc: 3.096 5.364 9.981
angles: 90.00 90.00 90.00
Positions (direct):
Ba  0.000  0.000  0.000
Ba  0.500  0.500  0.500
Fe  0.000  0.500  0.201
Fe  0.000  0.500  0.799
Fe  0.500  0.000  0.299
Fe  0.500  0.000  0.701
Ru  0.000  0.000  0.500
Ru  0.500  0.500  0.000

Output
Its formation enthalpy at 0 K is 0.947 eV/atom. The value obtained for the magnetic moment is 13.15 μB/cell. For the mass density, the calculation gives 7.016 g/cm³.

[2]
Ac3Mg7In2: optimized geometry, GGA-PBE.

abc: 6.268 4.372 13.716
angles: 90.00 100.90 90.00
Positions (direct):
Ac  0.000  0.000  0.000
Ac  0.341  0.000  0.622
Ac  0.659  0.000  0.378
Mg  0.113  0.000  0.269
Mg  0.171  0.500  0.418
Mg  0.341  0.500  0.190
Mg  0.500  0.500  0.000
Mg  0.659  0.500  0.810
Mg  0.829  0.500  0.582
Mg  0.887  0.000  0.731
In  0.178  0.500  0.811
In  0.822  0.500  0.189

Output
Its formation enthalpy at 0 K is -0.073 eV/atom. The value obtained for the magnetic moment is 0.00 μB/cell. For the mass density, the calculation gives 4.862 g/cm³.